(P)
Here is a relaxed ZnFe2O5 crystal from Alexandria via LeMat-Bulk. Energies are from PBE with a Hubbard U.

As for the density of states at the Fermi level: 4.54 states/eV/cell.

Unit cell a=3.2770 b=11.8864 c=5.0734 alpha=90.00 beta=90.00 gamma=90.00
Last column: nearest neighbours and their distance in Å.
Atoms (fractional coordinates):
Zn: 0.2500 0.2500 0.0663  6 O 2.18-2.24
Zn: 0.7500 0.7500 0.9337  6 O 2.18-2.24
Fe: 0.2500 0.6042 0.4632  5 O 1.86-2.01
Fe: 0.2500 0.8958 0.4632  5 O 1.86-2.01
Fe: 0.7500 0.1042 0.5368  5 O 1.86-2.01
Fe: 0.7500 0.3958 0.5368  5 O 1.86-2.01
O: 0.2500 0.0597 0.3626  3 Fe 1.94-2.01
O: 0.2500 0.4403 0.3626  3 Fe 1.94-2.01
O: 0.2500 0.6596 0.1209  1 Fe 1.86
O: 0.2500 0.7500 0.6333  2 Fe 1.94
O: 0.2500 0.8404 0.1209  1 Fe 1.86
O: 0.7500 0.1596 0.8791  1 Fe 1.86
O: 0.7500 0.2500 0.3667  2 Fe 1.94
O: 0.7500 0.3404 0.8791  1 Fe 1.86
O: 0.7500 0.5597 0.6374  3 Fe 1.94-2.01
O: 0.7500 0.9403 0.6374  3 Fe 1.94-2.01

***

(Q)
Here is a relaxed ZnFe2O5 crystal from Alexandria via LeMat-Bulk. Energies are from PBE with a Hubbard U.

As for the density of states at the Fermi level: 10.56 states/eV/cell.

Unit cell a=5.6273 b=5.6273 c=11.1134 alpha=90.00 beta=90.00 gamma=141.28
Last column: nearest neighbours and their distance in Å.
Atoms (fractional coordinates):
Zn: 0.1057 0.8943 0.7500  4 O 1.97-2.08
Zn: 0.8943 0.1057 0.2500  4 O 1.97-2.08
Fe: 0.2063 0.7937 0.1001  5 O 1.80-2.00
Fe: 0.2063 0.7937 0.3999  5 O 1.80-2.00
Fe: 0.7937 0.2063 0.6001  5 O 1.80-2.00
Fe: 0.7937 0.2063 0.8999  5 O 1.80-2.00
O: 0.0432 0.9568 0.1447  1 Fe 1.80, 1 Zn 1.97
O: 0.0432 0.9568 0.3553  1 Fe 1.80, 1 Zn 1.97
O: 0.2368 0.7632 0.5777  3 Fe 1.98-2.00
O: 0.2368 0.7632 0.9223  3 Fe 1.98-2.00
O: 0.3076 0.6924 0.2500  2 Fe 1.98, 2 Zn 2.08
O: 0.6924 0.3076 0.7500  2 Fe 1.98, 2 Zn 2.08
O: 0.7632 0.2368 0.0777  3 Fe 1.98-2.00
O: 0.7632 0.2368 0.4223  3 Fe 1.98-2.00
O: 0.9568 0.0432 0.6447  1 Fe 1.80, 1 Zn 1.97
O: 0.9568 0.0432 0.8553  1 Fe 1.80, 1 Zn 1.97

***

Need the numbers? Relative energies in kJ/mol of atoms: (P) 0.5; (Q) 0.0.